AcTlAs2Au4 | PBE-GGA | relaxed

abc: 4.201 4.201 10.625
angles: 90.00 90.00 90.00
Positions (direct):
As: 0.500 0.500 0.632
Ac: 0.000 0.000 0.500
Au: 0.000 0.500 0.204
Au: 0.000 0.500 0.796
Tl: 0.000 0.000 0.000
Au: 0.500 0.000 0.204
Au: 0.500 0.000 0.796
As: 0.500 0.500 0.368

Properties
symmetry = P4/mmm (123)
calculated total energy = -31.21 eV/cell
formation energy from the elements = -0.29 eV/atom
mass density = 12.12 g/cm3

---

Ac2ZnAsAu6 | PBE-GGA | relaxed

abc: 7.012 7.361 7.384
angles: 43.38 79.86 96.40
Positions (direct):
Ac: 0.256 0.727 0.472
Au: 0.288 0.773 0.985
Au: 0.712 0.227 0.015
As: 0.000 0.000 0.000
Ac: 0.744 0.273 0.528
Au: 0.084 0.251 0.167
Au: 0.712 0.728 0.515
Zn: 0.500 0.500 0.000
Au: 0.288 0.272 0.485
Au: 0.916 0.749 0.833

Properties
symmetry = P-1 (2)
calculated total energy = -39.04 eV/cell
formation energy from the elements = -0.52 eV/atom
mass density = 12.24 g/cm3

---

AcZrAs3Au | PBE-GGA | relaxed

abc: 4.082 8.060 9.338
angles: 106.72 90.00 90.00
Positions (direct):
As: 0.250 0.097 0.870
As: 0.250 0.553 0.850
As: 0.750 0.293 0.541
As: 0.750 0.447 0.150
As: 0.750 0.903 0.130
Au: 0.250 0.113 0.588
Ac: 0.750 0.787 0.750
Au: 0.750 0.887 0.412
Zr: 0.750 0.319 0.843
Ac: 0.250 0.213 0.250
Zr: 0.250 0.681 0.157
As: 0.250 0.707 0.459

Properties
symmetry = P2_1/m (11)
calculated total energy = -69.97 eV/cell
formation energy from the elements = -0.85 eV/atom
mass density = 8.35 g/cm3

---

Ac3BAs | PBE-GGA | relaxed

abc: 5.485 5.485 5.485
angles: 90.00 90.00 90.00
Positions (direct):
Ac: 0.000 0.500 0.000
Ac: 0.000 0.000 0.500
Ac: 0.500 0.000 0.000
As: 0.500 0.500 0.500
B: 0.000 0.000 0.000

Properties
symmetry = Pm-3m (221)
calculated total energy = -24.19 eV/cell
formation energy from the elements = -0.11 eV/atom
mass density = 7.71 g/cm3

---

AcBAs2 | PBE-GGA | relaxed

abc: 4.962 4.962 7.163
angles: 69.73 69.73 60.00
Positions (direct):
As: 0.905 0.905 0.286
B: 0.000 0.000 0.000
As: 0.095 0.095 0.714
Ac: 0.500 0.500 0.500

Properties
symmetry = R-3m (166)
calculated total energy = -21.10 eV/cell
polymorph energy (0 for the lowest one) = 0 meV/atom
formation energy from the elements = -0.25 eV/atom
mass density = 4.60 g/cm3

---

AcBAs2 | PBE-GGA | relaxed

abc: 4.987 4.153 4.153
angles: 90.00 90.00 90.00
Positions (direct):
As: 0.000 0.500 0.000
Ac: 0.500 0.500 0.500
B: 0.500 0.000 0.000
As: 0.000 0.000 0.500

Properties
symmetry = P4/mmm (123)
calculated total energy = -19.38 eV/cell
polymorph energy (0 for the lowest one) = 430 meV/atom
formation energy from the elements = 0.17 eV/atom
mass density = 7.48 g/cm3

---

Ac4BAsI2 | PBE-GGA | relaxed

abc: 4.422 7.759 8.611
angles: 107.09 90.00 90.00
Positions (direct):
I: 0.500 0.000 0.500
Ac: 0.000 0.248 0.806
B: 0.000 0.000 0.000
Ac: 0.500 0.208 0.186
Ac: 0.000 0.752 0.194
I: 0.000 0.500 0.500
As: 0.500 0.500 0.000
Ac: 0.500 0.792 0.814

Properties
symmetry = P2/m (10)
calculated total energy = -38.11 eV/cell
mass density = 7.34 g/cm3
formation energy (no corrections) = -0.9061 eV/atom

---

AcBAsIr6 | PBE-GGA | relaxed

abc: 6.878 8.342 7.844
angles: 122.12 116.00 90.00
Positions (direct):
Ir: 0.459 0.709 0.918
Ir: 0.098 0.848 0.196
B: 0.500 0.000 0.000
Ir: 0.407 0.646 0.245
Ir: 0.407 0.099 0.245
Ir: 0.541 0.291 0.082
As: 0.500 0.000 0.500
Ac: 0.825 0.575 0.650
Ir: 0.838 0.646 0.245
B: 0.500 0.500 0.000
Ir: 0.162 0.901 0.755
Ac: 0.175 0.425 0.350
As: 0.000 0.000 0.500
Ir: 0.593 0.354 0.755
Ir: 0.902 0.152 0.804
Ir: 0.838 0.099 0.245
Ir: 0.593 0.901 0.755
Ir: 0.162 0.354 0.755

Properties
symmetry = Imma (74)
calculated total energy = -135.03 eV/cell
formation energy from the elements = 0.12 eV/atom
mass density = 14.93 g/cm3

---

AcBAs2O8 | PBE-GGA | relaxed

abc: 5.191 5.191 6.768
angles: 90.00 90.00 120.00
Positions (direct):
O: 0.148 0.296 0.841
As: 0.333 0.667 0.784
Ac: 0.000 0.000 0.500
B: 0.000 0.000 0.000
O: 0.852 0.148 0.159
O: 0.704 0.852 0.841
O: 0.296 0.148 0.159
O: 0.333 0.667 0.531
O: 0.148 0.852 0.841
O: 0.852 0.704 0.159
O: 0.667 0.333 0.469
As: 0.667 0.333 0.216

Properties
symmetry = P-3m1 (164)
calculated total energy = -79.11 eV/cell
mass density = 5.42 g/cm3
formation energy (no corrections) = -1.6129 eV/atom

---

AcB2AsO8 | PBE-GGA | relaxed

abc: 4.522 4.522 7.359
angles: 87.17 87.17 65.03
Positions (direct):
O: 0.731 0.236 0.815
O: 0.764 0.269 0.185
O: 0.236 0.731 0.815
B: 0.630 0.630 0.200
O: 0.269 0.764 0.185
Ac: 0.000 0.000 0.500
As: 0.000 0.000 0.000
O: 0.311 0.311 0.618
O: 0.243 0.243 0.961
B: 0.370 0.370 0.800
O: 0.757 0.757 0.039
O: 0.689 0.689 0.382

Properties
symmetry = C2/m (12)
calculated total energy = -84.91 eV/cell
mass density = 5.51 g/cm3
formation energy (no corrections) = -1.9276 eV/atom

---

Ac2BAsPd6 | PBE-GGA | relaxed

abc: 5.962 7.234 5.961
angles: 65.68 59.99 90.00
Positions (direct):
Pd: 0.731 0.687 0.537
B: 0.500 0.500 0.000
Ac: 0.728 0.183 0.544
Pd: 0.269 0.313 0.463
Pd: 0.778 0.315 0.953
Pd: 0.731 0.685 0.047
Ac: 0.272 0.817 0.456
Pd: 0.269 0.315 0.953
As: 0.000 0.000 0.000
Pd: 0.222 0.685 0.047

Properties
symmetry = C2/m (12)
calculated total energy = -58.16 eV/cell
formation energy from the elements = -0.75 eV/atom
mass density = 9.99 g/cm3

---

AcBAsPd6 | PBE-GGA | relaxed

abc: 7.282 8.299 7.926
angles: 121.57 117.35 90.00
Positions (direct):
Pd: 0.831 0.105 0.248
Pd: 0.169 0.356 0.752
Pd: 0.417 0.644 0.248
Pd: 0.583 0.356 0.752
Pd: 0.831 0.644 0.248
Ac: 0.830 0.580 0.661
Pd: 0.548 0.298 0.097
Pd: 0.417 0.105 0.248
Pd: 0.104 0.854 0.209
Pd: 0.583 0.895 0.752
B: 0.500 0.000 0.000
Pd: 0.169 0.895 0.752
Pd: 0.452 0.702 0.903
B: 0.500 0.500 0.000
As: 0.500 0.000 0.500
As: 0.000 0.000 0.500
Ac: 0.170 0.420 0.339
Pd: 0.896 0.146 0.791

Properties
symmetry = Imma (74)
calculated total energy = -100.13 eV/cell
formation energy from the elements = -0.39 eV/atom
mass density = 9.19 g/cm3

---

Ac3B2AsPt9 | PBE-GGA | relaxed

abc: 5.988 5.988 9.344
angles: 90.00 90.00 120.00
Positions (direct):
Pt: 0.661 0.831 0.289
Pt: 0.500 0.500 0.000
As: 0.000 0.000 0.500
Pt: 0.339 0.169 0.711
Pt: 0.169 0.339 0.289
Ac: 0.333 0.667 0.620
B: 0.667 0.333 0.852
Pt: 0.169 0.831 0.289
B: 0.333 0.667 0.148
Pt: 0.831 0.661 0.711
Pt: 0.831 0.169 0.711
Pt: 0.500 0.000 0.000
Ac: 0.000 0.000 0.000
Ac: 0.667 0.333 0.380
Pt: 0.000 0.500 0.000

Properties
symmetry = P-3m1 (164)
calculated total energy = -96.04 eV/cell
formation energy from the elements = -0.76 eV/atom
mass density = 14.50 g/cm3

---

Ac2BAsPt6 | PBE-GGA | relaxed

abc: 5.865 6.647 6.723
angles: 119.63 115.86 90.00
Positions (direct):
Pt: 0.274 0.275 0.549
B: 0.065 0.065 0.131
As: 0.543 0.544 0.086
Pt: 0.782 0.783 0.563
Pt: 0.721 0.763 0.945
Pt: 0.721 0.184 0.946
Pt: 0.224 0.184 0.946
Pt: 0.224 0.763 0.945
Ac: 0.739 0.239 0.477
Ac: 0.205 0.705 0.410

Properties
symmetry = Cm (8)
calculated total energy = -64.28 eV/cell
formation energy from the elements = -0.85 eV/atom
mass density = 14.41 g/cm3

---

AcBAsRh6 | PBE-GGA | relaxed

abc: 6.852 8.281 7.760
angles: 122.25 116.20 90.00
Positions (direct):
Rh: 0.160 0.359 0.751
Rh: 0.840 0.108 0.249
Rh: 0.409 0.641 0.249
As: 0.500 0.000 0.500
Rh: 0.160 0.892 0.751
Ac: 0.172 0.422 0.345
B: 0.500 0.500 0.000
Rh: 0.900 0.150 0.800
Ac: 0.828 0.578 0.655
As: 0.000 0.000 0.500
Rh: 0.591 0.359 0.751
Rh: 0.475 0.725 0.950
B: 0.500 0.000 0.000
Rh: 0.100 0.850 0.200
Rh: 0.840 0.641 0.249
Rh: 0.409 0.108 0.249
Rh: 0.525 0.275 0.050
Rh: 0.591 0.892 0.751

Properties
symmetry = Imma (74)
calculated total energy = -122.23 eV/cell
formation energy from the elements = -0.17 eV/atom
mass density = 9.73 g/cm3

---

BaAc3As | PBE-GGA | relaxed

abc: 6.179 6.179 6.179
angles: 90.00 90.00 90.00
Positions (direct):
Ac: 0.000 0.000 0.500
As: 0.000 0.000 0.000
Ac: 0.000 0.500 0.000
Ac: 0.500 0.000 0.000
Ba: 0.500 0.500 0.500

Properties
symmetry = Pm-3m (221)
calculated total energy = -20.78 eV/cell
formation energy from the elements = -0.38 eV/atom
mass density = 6.29 g/cm3

---

BaAcAs2 | PBE-GGA | relaxed

abc: 4.634 4.634 8.123
angles: 73.43 73.43 60.00
Positions (direct):
As: 0.743 0.743 0.771
As: 0.257 0.257 0.229
Ba: 0.500 0.500 0.500
Ac: 0.000 0.000 0.000

Properties
symmetry = R-3m (166)
calculated total energy = -19.87 eV/cell
polymorph energy (0 for the lowest one) = 0 meV/atom
formation energy from the elements = -1.14 eV/atom
mass density = 5.99 g/cm3

---

BaAcAs2 | PBE-GGA | relaxed

abc: 5.578 5.578 5.578
angles: 60.00 60.00 60.00
Positions (direct):
As: 0.750 0.750 0.750
As: 0.250 0.250 0.250
Ac: 0.000 0.000 0.000
Ba: 0.500 0.500 0.500

Properties
symmetry = Fm-3m (225)
calculated total energy = -19.13 eV/cell
polymorph energy (0 for the lowest one) = 186 meV/atom
formation energy from the elements = -0.95 eV/atom
mass density = 6.96 g/cm3

---

BaAcAs2 | PBE-GGA | relaxed

abc: 4.076 4.076 7.418
angles: 90.00 90.00 90.00
Positions (direct):
Ac: 0.500 0.500 0.000
As: 0.000 0.000 0.225
Ba: 0.500 0.500 0.500
As: 0.000 0.000 0.775

Properties
symmetry = P4/mmm (123)
calculated total energy = -19.32 eV/cell
polymorph energy (0 for the lowest one) = 137 meV/atom
formation energy from the elements = -1.00 eV/atom
mass density = 6.93 g/cm3

---

BaAcAs2 | PBE-GGA | relaxed

abc: 4.546 4.546 8.458
angles: 74.41 74.41 60.00
Positions (direct):
Ba: 0.497 0.497 0.509
As: 0.076 0.076 0.771
Ac: 0.669 0.669 0.993
As: 0.258 0.258 0.227

Properties
symmetry = R3m (160)
calculated total energy = -19.58 eV/cell
polymorph energy (0 for the lowest one) = 72 meV/atom
formation energy from the elements = -1.06 eV/atom
mass density = 5.93 g/cm3